## PmPaSbSe (PBE)

Data for a geometry-optimized PmPaSbSe structure.

- Total DFT energy (no corrections): -25.54 eV per cell
- Crystal system: cubic
- Formation energy (no corrections): -3.68 eV per formula unit

a = 5.235 Å, b = 5.235 Å, c = 5.235 Å
α = 60.00°, β = 60.00°, γ = 60.00°
Site moments in Bohr magnetons follow the coordinates.
Positions (direct):
1 Pa 0.000 0.000 0.000  1.04
2 Se 0.250 0.250 0.250  -0.04
3 Pm 0.500 0.500 0.500  0.23
4 Sb 0.750 0.750 0.750  -0.04



## PmSm2PaSb5 (PBE)

Data for a geometry-optimized PmSm2PaSb5 structure.

- Total DFT energy (no corrections): -45.80 eV per cell
- Crystal system: tetragonal
- Formation energy (no corrections): -1.50 eV per formula unit

a = 5.457 Å, b = 5.457 Å, c = 11.781 Å
α = 90.00°, β = 90.00°, γ = 90.00°
Positions (direct):
1 Sb 0.000 0.500 0.500
2 Sb 0.000 0.000 0.249
3 Sb 0.000 0.000 0.751
4 Sb 0.500 0.500 0.000
5 Sb 0.500 0.000 0.500
6 Pa 0.000 0.000 0.500
7 Pm 0.000 0.000 0.000
8 Sm 0.500 0.500 0.270
9 Sm 0.500 0.500 0.730



## Pm2SmPaSb4 (PBE)

Data for a geometry-optimized Pm2SmPaSb4 structure.

- Total DFT energy (no corrections): -48.22 eV per cell
- Crystal system: monoclinic
- Formation energy (no corrections): -8.01 eV per formula unit

a = 4.448 Å, b = 7.710 Å, c = 7.717 Å
α = 109.33°, β = 90.00°, γ = 90.00°
Site moments in Bohr magnetons follow the coordinates.
Positions (direct):
1 Sb 0.000 0.255 0.756  -0.01
2 Sb 0.000 0.745 0.244  -0.01
3 Sb 0.500 0.253 0.245  -0.01
4 Sb 0.500 0.747 0.755  -0.01
5 Pa 0.500 0.500 0.000  0.71
6 Pm 0.500 0.000 0.500  0.02
7 Pm 0.000 0.500 0.500  0.01
8 Sm 0.000 0.000 0.000  0.01



## PmPaSnSb (PBE)

Data for a geometry-optimized PmPaSnSb structure.

- Total DFT energy (no corrections): -24.09 eV per cell
- Crystal system: cubic
- Formation energy (no corrections): -1.72 eV per formula unit

a = 5.375 Å, b = 5.375 Å, c = 5.375 Å
α = 60.00°, β = 60.00°, γ = 60.00°
Site moments in Bohr magnetons follow the coordinates.
Positions (direct):
1 Sb 0.750 0.750 0.750  -0.01
2 Pm 0.500 0.500 0.500  0.21
3 Sn 0.250 0.250 0.250  -0.01
4 Pa 0.000 0.000 0.000  0.84



## Sr3Pm2PaSb6 (PBE)

Data for a geometry-optimized Sr3Pm2PaSb6 structure.

- Total DFT energy (no corrections): -60.23 eV per cell
- Crystal system: monoclinic
- Formation energy (no corrections): -11.45 eV per formula unit

a = 7.940 Å, b = 7.940 Å, c = 8.056 Å
α = 99.47°, β = 99.47°, γ = 120.07°
Positions (direct):
1 Pm 0.334 0.666 0.000
2 Pm 0.666 0.334 0.000
3 Sb 0.075 0.398 0.225
4 Sb 0.398 0.075 0.225
5 Sb 0.602 0.925 0.775
6 Sb 0.754 0.754 0.227
7 Sb 0.246 0.246 0.773
8 Sb 0.925 0.602 0.775
9 Sr 0.500 0.500 0.500
10 Sr 0.171 0.829 0.500
11 Sr 0.829 0.171 0.500
12 Pa 0.000 0.000 0.000



## Tb2PmPaSb4 (PBE)

Data for a geometry-optimized Tb2PmPaSb4 structure.

- Total DFT energy (no corrections): -47.84 eV per cell
- Crystal system: monoclinic
- Formation energy (no corrections): -7.84 eV per formula unit

a = 4.410 Å, b = 7.656 Å, c = 7.634 Å
α = 109.34°, β = 90.00°, γ = 90.00°
Site moments in Bohr magnetons follow the coordinates.
Positions (direct):
1 Pa 0.500 0.500 0.000  0.77
2 Pm 0.000 0.000 0.000  0.01
3 Sb 0.500 0.256 0.252  -0.01
4 Sb 0.500 0.744 0.748  -0.01
5 Sb 0.000 0.747 0.251  -0.01
6 Sb 0.000 0.253 0.749  -0.01
7 Tb 0.500 0.000 0.500  0.02
8 Tb 0.000 0.500 0.500  0.00